# Ac2BiBr | the Alexandria database | GGA-PBE | relaxed
# * ρ: 6.597 Mg/m³
# * total magnetic moment: 0.00 μB/f.u.
# * N(E_F): 0.718 states/eV/atom
data_Ac2BiBr
_cell_length_a 4.602
_cell_length_b 4.602
_cell_length_c 10.535
_cell_angle_alpha 77.38
_cell_angle_beta 77.38
_cell_angle_gamma 60.00
_symmetry_space_group_name_H-M 'P 1'
_symmetry_Int_Tables_number 1
loop_
_symmetry_equiv_pos_as_xyz
'x,y,z'
loop_
_atom_site_label
_atom_site_type_symbol
_atom_site_fract_x
_atom_site_fract_y
_atom_site_fract_z
Bi1 Bi 0.500 0.500 0.500
Ac1 Ac 0.900 0.900 0.299
Br1 Br 0.000 0.000 0.000
Ac2 Ac 0.100 0.100 0.701

=====

# Ac3Bi2Br | the Alexandria database | GGA-PBE | relaxed
# * ρ: 8.401 Mg/m³
# * total magnetic moment: 0.00 μB/f.u.
# * N(E_F): 0.681 states/eV/atom
data_Ac3Bi2Br
_cell_length_a 8.271
_cell_length_b 8.271
_cell_length_c 15.239
_cell_angle_alpha 100.35
_cell_angle_beta 100.34
_cell_angle_gamma 109.76
_symmetry_space_group_name_H-M 'P 1'
_symmetry_Int_Tables_number 1
loop_
_symmetry_equiv_pos_as_xyz
'x,y,z'
loop_
_atom_site_label
_atom_site_type_symbol
_atom_site_fract_x
_atom_site_fract_y
_atom_site_fract_z
Ac1 Ac 0.421 0.417 0.336
Bi1 Bi 0.250 0.250 0.500
Bi2 Bi 0.750 0.750 0.500
Bi3 Bi 0.834 0.334 0.668
Br1 Br 0.333 0.833 0.666
Ac2 Ac 0.336 0.832 0.164
Ac3 Ac 0.914 0.918 0.336
Ac4 Ac 0.829 0.333 0.164
Ac5 Ac 0.994 0.494 0.500
Ac6 Ac 0.256 0.256 0.000
Bi4 Bi 0.584 0.584 0.168
Ac7 Ac 0.583 0.579 0.664
Ac8 Ac 0.506 0.006 0.500
Bi5 Bi 0.666 0.166 0.332
Bi6 Bi 0.416 0.416 0.832
Br2 Br 0.083 0.083 0.166
Ac9 Ac 0.168 0.664 0.836
Bi7 Bi 0.000 0.500 0.000
Ac10 Ac 0.744 0.744 0.000
Ac11 Ac 0.082 0.086 0.664
Br3 Br 0.167 0.667 0.334
Br4 Br 0.917 0.917 0.834
Ac12 Ac 0.667 0.171 0.836
Bi8 Bi 0.500 0.000 0.000

=====

# Ac4Bi2Br | the Alexandria database | GGA-PBE | relaxed
# * ρ: 8.043 Mg/m³
# * total magnetic moment: 0.00 μB/f.u.
# * N(E_F): 1.307 states/eV/atom
data_Ac4Bi2Br
_cell_length_a 5.748
_cell_length_b 5.748
_cell_length_c 9.680
_cell_angle_alpha 107.27
_cell_angle_beta 107.27
_cell_angle_gamma 90.00
_symmetry_space_group_name_H-M 'P 1'
_symmetry_Int_Tables_number 1
loop_
_symmetry_equiv_pos_as_xyz
'x,y,z'
loop_
_atom_site_label
_atom_site_type_symbol
_atom_site_fract_x
_atom_site_fract_y
_atom_site_fract_z
Bi1 Bi 0.370 0.370 0.739
Ac1 Ac 0.000 0.500 0.000
Bi2 Bi 0.630 0.630 0.261
Br1 Br 0.000 0.000 0.000
Ac2 Ac 0.823 0.823 0.645
Ac3 Ac 0.177 0.177 0.355
Ac4 Ac 0.500 0.000 0.000

=====

# Ac2BiBr | the Alexandria database | GGA-PBE | relaxed
# * ρ: 9.123 Mg/m³
# * total magnetic moment: 0.03 μB/f.u.
# * N(E_F): 0.836 states/eV/atom
data_Ac2BiBr
_cell_length_a 5.761
_cell_length_b 5.761
_cell_length_c 5.761
_cell_angle_alpha 60.00
_cell_angle_beta 60.00
_cell_angle_gamma 60.00
_symmetry_space_group_name_H-M 'P 1'
_symmetry_Int_Tables_number 1
loop_
_symmetry_equiv_pos_as_xyz
'x,y,z'
loop_
_atom_site_label
_atom_site_type_symbol
_atom_site_fract_x
_atom_site_fract_y
_atom_site_fract_z
Ac1 Ac 0.250 0.250 0.250
Ac2 Ac 0.750 0.750 0.750
Br1 Br 0.500 0.500 0.500
Bi1 Bi 0.000 0.000 0.000

=====

# Ac2BiBr | the Alexandria database | GGA-PBE | relaxed
# * ρ: 7.995 Mg/m³
# * total magnetic moment: 0.01 μB/f.u.
# * N(E_F): 0.603 states/eV/atom
data_Ac2BiBr
_cell_length_a 4.581
_cell_length_b 4.581
_cell_length_c 8.892
_cell_angle_alpha 75.07
_cell_angle_beta 75.07
_cell_angle_gamma 60.00
_symmetry_space_group_name_H-M 'P 1'
_symmetry_Int_Tables_number 1
loop_
_symmetry_equiv_pos_as_xyz
'x,y,z'
loop_
_atom_site_label
_atom_site_type_symbol
_atom_site_fract_x
_atom_site_fract_y
_atom_site_fract_z
Ac1 Ac 0.255 0.255 0.235
Ac2 Ac 0.079 0.079 0.764
Bi1 Bi 0.668 0.668 0.996
Br1 Br 0.498 0.498 0.505

=====

# Ac2BiBr | the Alexandria database | GGA-PBE | relaxed
# * ρ: 9.017 Mg/m³
# * total magnetic moment: 0.00 μB/f.u.
# * N(E_F): 0.854 states/eV/atom
data_Ac2BiBr
_cell_length_a 4.143
_cell_length_b 4.143
_cell_length_c 7.969
_cell_angle_alpha 90.00
_cell_angle_beta 90.00
_cell_angle_gamma 90.00
_symmetry_space_group_name_H-M 'P 1'
_symmetry_Int_Tables_number 1
loop_
_symmetry_equiv_pos_as_xyz
'x,y,z'
loop_
_atom_site_label
_atom_site_type_symbol
_atom_site_fract_x
_atom_site_fract_y
_atom_site_fract_z
Br1 Br 0.500 0.500 0.000
Bi1 Bi 0.500 0.500 0.500
Ac1 Ac 0.000 0.000 0.739
Ac2 Ac 0.000 0.000 0.261

=====

# Ac12Bi5Br3 | the Alexandria database | GGA-PBE | relaxed
# * ρ: 6.929 Mg/m³
# * total magnetic moment: 10.31 μB/f.u.
# * N(E_F): 1.110 states/eV/atom
data_Ac12Bi5Br3
_cell_length_a 17.090
_cell_length_b 17.090
_cell_length_c 17.090
_cell_angle_alpha 109.47
_cell_angle_beta 109.47
_cell_angle_gamma 109.47
_symmetry_space_group_name_H-M 'P 1'
_symmetry_Int_Tables_number 1
loop_
_symmetry_equiv_pos_as_xyz
'x,y,z'
loop_
_atom_site_label
_atom_site_type_symbol
_atom_site_fract_x
_atom_site_fract_y
_atom_site_fract_z
Ac1 Ac 0.057 0.439 0.828
Br1 Br 0.250 0.625 0.875
Ac2 Ac 0.389 0.271 0.328
Bi1 Bi 0.875 0.625 0.750
Ac3 Ac 0.672 0.229 0.611
Ac4 Ac 0.889 0.061 0.618
Bi2 Bi 0.500 0.000 0.000
Bi3 Bi 0.375 0.125 0.750
Ac5 Ac 0.618 0.057 0.229
Br2 Br 0.750 0.375 0.125
Ac6 Ac 0.828 0.889 0.271
Bi4 Bi 0.500 0.000 0.500
Ac7 Ac 0.382 0.943 0.771
Ac8 Ac 0.828 0.939 0.057
Bi5 Bi 0.125 0.375 0.250
Ac9 Ac 0.172 0.111 0.729
Ac10 Ac 0.939 0.828 0.557
Ac11 Ac 0.939 0.111 0.882
Br3 Br 0.375 0.750 0.625
Bi6 Bi 0.000 0.500 0.500
Bi7 Bi 0.625 0.750 0.875
Br4 Br 0.875 0.750 0.125
Br5 Br 0.750 0.875 0.625
Ac12 Ac 0.729 0.118 0.057
Br6 Br 0.625 0.375 0.750
Bi8 Bi 0.875 0.250 0.625
Ac13 Ac 0.729 0.611 0.172
Ac14 Ac 0.943 0.561 0.172
Bi9 Bi 0.500 0.500 0.500
Bi10 Bi 0.250 0.375 0.625
Ac15 Ac 0.611 0.882 0.439
Ac16 Ac 0.611 0.729 0.672
Ac17 Ac 0.111 0.172 0.229
Bi11 Bi 0.750 0.625 0.375
Bi12 Bi 0.750 0.125 0.875
Br7 Br 0.125 0.250 0.875
Ac18 Ac 0.061 0.889 0.118
Bi13 Bi 0.000 0.000 0.500
Ac19 Ac 0.561 0.618 0.389
Ac20 Ac 0.229 0.557 0.618
Ac21 Ac 0.618 0.561 0.889
Bi14 Bi 0.625 0.875 0.250
Ac22 Ac 0.118 0.389 0.061
Ac23 Ac 0.882 0.271 0.443
Bi15 Bi 0.000 0.000 0.000
Br8 Br 0.375 0.625 0.250
Ac24 Ac 0.172 0.061 0.943
Ac25 Ac 0.771 0.443 0.382
Ac26 Ac 0.443 0.672 0.061
Bi16 Bi 0.375 0.250 0.125
Ac27 Ac 0.061 0.172 0.443
Bi17 Bi 0.000 0.500 0.000
Ac28 Ac 0.443 0.771 0.882
Bi18 Bi 0.500 0.500 0.000
Br9 Br 0.875 0.125 0.250
Bi19 Bi 0.125 0.750 0.375
Ac29 Ac 0.439 0.057 0.328
Br10 Br 0.625 0.250 0.375
Ac30 Ac 0.382 0.439 0.111
Ac31 Ac 0.557 0.328 0.939
Ac32 Ac 0.271 0.882 0.943
Ac33 Ac 0.229 0.672 0.111
Ac34 Ac 0.328 0.557 0.439
Ac35 Ac 0.057 0.618 0.729
Br11 Br 0.250 0.125 0.375
Ac36 Ac 0.943 0.382 0.271
Ac37 Ac 0.118 0.729 0.557
Ac38 Ac 0.771 0.328 0.889
Ac39 Ac 0.328 0.771 0.389
Ac40 Ac 0.271 0.389 0.828
Ac41 Ac 0.111 0.939 0.382
Br12 Br 0.125 0.875 0.750
Ac42 Ac 0.561 0.943 0.672
Ac43 Ac 0.557 0.229 0.118
Ac44 Ac 0.889 0.828 0.771
Ac45 Ac 0.672 0.443 0.561
Ac46 Ac 0.439 0.382 0.611
Ac47 Ac 0.882 0.611 0.939
Ac48 Ac 0.389 0.118 0.561
Bi20 Bi 0.250 0.875 0.125

=====

# CaAcBiBr | the Alexandria database | GGA-PBE | relaxed
# * ρ: 7.177 Mg/m³
# * total magnetic moment: 0.00 μB/f.u.
# * N(E_F): 0.532 states/eV/atom
data_CaAcBiBr
_cell_length_a 5.666
_cell_length_b 5.666
_cell_length_c 5.666
_cell_angle_alpha 60.00
_cell_angle_beta 60.00
_cell_angle_gamma 60.00
_symmetry_space_group_name_H-M 'P 1'
_symmetry_Int_Tables_number 1
loop_
_symmetry_equiv_pos_as_xyz
'x,y,z'
loop_
_atom_site_label
_atom_site_type_symbol
_atom_site_fract_x
_atom_site_fract_y
_atom_site_fract_z
Bi1 Bi 0.250 0.250 0.250
Ca1 Ca 0.000 0.000 0.000
Br1 Br 0.750 0.750 0.750
Ac1 Ac 0.500 0.500 0.500

=====

Number 1: uncorrected formation energy -0.934 eV per atom. Number 2: uncorrected formation energy -1.066 eV per atom. Number 3: uncorrected formation energy -0.529 eV per atom. Number 4: uncorrected formation energy -1.038 eV per atom. Number 5: uncorrected formation energy -1.014 eV per atom. Number 6: uncorrected formation energy -0.965 eV per atom. Number 7: uncorrected formation energy -0.283 eV per atom. Number 8: uncorrected formation energy -1.044 eV per atom.